Here is a geometry-optimized SrAs4Cl structure from Alexandria via LeMat-Bulk. Energies are from PBE-GGA.

Summary:
The calculation puts the density of states at the Fermi level at 0.8664 states/eV per atom. The value obtained for the total energy is -4.126 eV per atom. Its magnetization is 0.0 μB/f.u. For the uncorrected formation energy, the calculation gives -0.438 eV per atom.

a b c (Å): 5.918 5.918 5.918
angles (deg): 60.00 60.00 60.00
Sites, in units of the cell vectors:
Sr: 0.000 0.000 0.000
As: 0.826 0.391 0.391
As: 0.391 0.391 0.826
As: 0.391 0.826 0.391
As: 0.391 0.391 0.391
Cl: 0.750 0.750 0.750